Record 1
Density functional theory data (PBE) for CeScTaN3 after structural relaxation.

```
12
Lattice="3.294 0.000 0.000 0.000 5.682 0.120 0.000 -2.122 8.178" Properties=species:S:1:pos:R:3 pbc="T T T"
Ce 2.471 2.213 5.748
Ce 0.824 1.347 2.550
Sc 0.824 4.283 0.477
Sc 2.471 -0.723 7.821
Ta 0.824 -0.619 5.254
Ta 2.471 4.179 3.044
N 0.824 3.259 4.067
N 2.471 -0.108 1.311
N 2.471 2.823 1.434
N 2.471 0.300 4.231
N 0.824 0.737 6.865
N 0.824 3.668 6.987
```

Output
Total moment, μB per cell: 0.0
Calculated total energy, eV per atom: -9.684
Formation energy (no corrections), eV per formula unit: -9.01



Record 2
Density functional theory data (PBE) for CeScTiN3 after structural relaxation.

```
12
Lattice="3.259 0.000 0.000 0.000 6.787 0.779 0.000 -1.788 7.802" Properties=species:S:1:pos:R:3 pbc="T T T"
Ce 2.444 4.246 7.004
Ce 0.815 0.753 1.576
Sc 0.815 4.101 1.464
Sc 2.444 0.898 7.116
Ti 0.815 -0.153 4.702
Ti 2.444 5.152 3.879
N 0.815 4.671 4.916
N 2.444 5.588 1.879
N 2.444 2.535 1.389
N 2.444 0.328 3.664
N 0.815 2.464 7.192
N 0.815 -0.589 6.701
```

Output
Total moment, μB per cell: 0.6
Calculated total energy, eV per atom: -8.908
Formation energy (no corrections), eV per formula unit: -8.31



Record 3
Density functional theory data (PBE) for Ce2ScTiN5 after structural relaxation.

```
18
Lattice="3.413 0.000 0.000 -1.707 6.687 0.000 0.000 0.000 10.183" Properties=species:S:1:pos:R:3 pbc="T T T"
Ce 1.707 4.811 7.992
Ce 0.000 1.539 7.046
Ce 0.000 1.877 2.901
Ce 1.707 5.149 1.954
Sc 1.707 3.820 5.089
Sc 0.000 2.867 10.180
Ti 1.707 0.296 9.889
Ti 0.000 6.392 4.798
N 0.000 5.034 0.136
N 1.707 2.520 8.830
N 0.000 6.575 7.992
N 0.000 3.779 6.716
N 1.707 5.967 5.614
N 1.707 1.654 5.227
N 0.000 4.167 3.738
N 1.707 0.112 2.901
N 1.707 2.908 1.625
N 0.000 0.721 0.522
```

Output
Total moment, μB per cell: 0.1
Calculated total energy, eV per atom: -8.990
Formation energy (no corrections), eV per formula unit: -13.19



Record 4
Density functional theory data (PBE) for CeScVN3 after structural relaxation.

```
12
Lattice="-2.085 0.075 2.474 -4.643 -3.560 -3.805 3.629 -5.791 3.234" Properties=species:S:1:pos:R:3 pbc="T T T"
Ce -2.461 -7.561 1.331
Ce -0.639 -1.715 0.572
Sc -2.986 -3.052 -1.365
Sc -0.114 -6.224 3.269
V 1.133 -3.808 2.129
V -4.232 -5.468 -0.226
N -2.431 -5.956 -0.810
N -5.056 -3.912 -0.967
N -2.983 -2.271 0.731
N -0.668 -3.320 2.713
N -0.117 -7.005 1.173
N 1.956 -5.364 2.870
```

Output
Total moment, μB per cell: 0.0
Calculated total energy, eV per atom: -9.019
Formation energy (no corrections), eV per formula unit: -7.75